(1)
The following is a DFT calculation (PBEsol) of a geometry-optimized KAl2In2 structure.

Properties
calculated formation energy = -0.02 eV per atom
VASP energy = -3.073 eV/atom
total magnetic moment = 0.0 μB/f.u.

Cell lengths 4.502, 4.502, 12.403 Å; angles 90.00, 90.00, 90.00 degrees
Space group I4/mmm (No. 139)
Inequivalent atoms, fractional coordinates:
K1 0.000 0.000 0.000 (multiplicity 2)
Al1 0.000 0.500 0.250 (multiplicity 4)
In1 0.000 0.000 0.385 (multiplicity 4)

(2)
The following is a DFT calculation (PBEsol) of a geometry-optimized KAlIn2P structure.

Properties
calculated formation energy = 1.52 eV per atom
VASP energy = -1.879 eV/atom
total magnetic moment = 0.0 μB/f.u.

Cell lengths 5.688, 5.688, 5.538 Å; angles 90.00, 90.00, 90.00 degrees
Space group P4/mmm (No. 123)
Inequivalent atoms, fractional coordinates:
K1 0.000 0.000 0.000 (multiplicity 1)
Al1 0.000 0.000 0.500 (multiplicity 1)
In1 0.000 0.500 0.000 (multiplicity 2)
P1 0.500 0.500 0.500 (multiplicity 1)

(3)
The following is a DFT calculation (PBEsol) of a geometry-optimized KAl2InSb structure.

Properties
VASP energy = -2.041 eV/atom
ΔE_f (raw) = 1.3305 eV/atom
total magnetic moment = 0.0 μB/f.u.

Cell lengths 5.535, 5.535, 5.671 Å; angles 90.00, 90.00, 90.00 degrees
Space group P4/mmm (No. 123)
Inequivalent atoms, fractional coordinates:
K1 0.000 0.000 0.000 (multiplicity 1)
Al1 0.000 0.500 0.000 (multiplicity 2)
In1 0.000 0.000 0.500 (multiplicity 1)
Sb1 0.500 0.500 0.500 (multiplicity 1)

(4)
The following is a DFT calculation (PBEsol) of a geometry-optimized La3AlIn structure.

Properties
calculated formation energy = 0.18 eV per atom
VASP energy = -4.443 eV/atom
total magnetic moment = 0.0 μB/f.u.

Cell lengths 5.650, 5.650, 5.650 Å; angles 90.00, 90.00, 90.00 degrees
Space group Pm-3m (No. 221)
Inequivalent atoms, fractional coordinates:
La1 0.000 0.000 0.500 (multiplicity 3)
Al1 0.000 0.000 0.000 (multiplicity 1)
In1 0.500 0.500 0.500 (multiplicity 1)

(5)
The following is a DFT calculation (PBEsol) of a geometry-optimized LaAl2In structure.

Properties
calculated formation energy = -0.24 eV per atom
VASP energy = -4.371 eV/atom
total magnetic moment = 0.0 μB/f.u.

Cell lengths 4.263, 4.382, 10.396 Å; angles 90.00, 90.00, 90.00 degrees
Space group Imm2 (No. 44)
Inequivalent atoms, fractional coordinates:
La1 0.000 0.000 0.000 (multiplicity 2)
Al1 0.000 0.000 0.416 (multiplicity 2)
Al2 0.000 0.500 0.747 (multiplicity 2)
In1 0.000 0.500 0.235 (multiplicity 2)

(6)
The following is a DFT calculation (PBEsol) of a geometry-optimized LaAlIn2 structure.

Properties
calculated formation energy = -0.30 eV per atom
VASP energy = -4.146 eV/atom
total magnetic moment = 0.0 μB/f.u.

Cell lengths 4.398, 4.533, 10.298 Å; angles 90.00, 90.00, 90.00 degrees
Space group Imm2 (No. 44)
Inequivalent atoms, fractional coordinates:
La1 0.000 0.000 0.000 (multiplicity 2)
Al1 0.000 0.500 0.260 (multiplicity 2)
In1 0.000 0.000 0.570 (multiplicity 2)
In2 0.000 0.500 0.769 (multiplicity 2)

(7)
The following is a DFT calculation (PBEsol) of a geometry-optimized LaAlIn2 structure.

Properties
calculated formation energy = -0.27 eV per atom
VASP energy = -4.120 eV/atom
total magnetic moment = 0.0 μB/f.u.

Cell lengths 3.263, 4.928, 6.167 Å; angles 90.00, 90.06, 90.00 degrees
Space group Pm (No. 6)
Inequivalent atoms, fractional coordinates:
La1 0.000 0.000 0.000 (multiplicity 1)
Al1 0.502 0.500 0.238 (multiplicity 1)
In1 0.498 0.500 0.748 (multiplicity 1)
In2 0.500 0.000 0.484 (multiplicity 1)

(8)
The following is a DFT calculation (PBEsol) of a geometry-optimized LaAlIn2 structure.

Properties
calculated formation energy = -0.32 eV per atom
VASP energy = -4.172 eV/atom
total magnetic moment = 0.0 μB/f.u.

Cell lengths 4.520, 4.520, 9.715 Å; angles 90.00, 90.00, 90.00 degrees
Space group I4/mmm (No. 139)
Inequivalent atoms, fractional coordinates:
La1 0.000 0.000 0.000 (multiplicity 2)
Al1 0.000 0.000 0.500 (multiplicity 2)
In1 0.000 0.500 0.250 (multiplicity 4)

(9)
The following is a DFT calculation (PBEsol) of a geometry-optimized LaAlIn2 structure.

Properties
calculated formation energy = -0.43 eV per atom
VASP energy = -4.278 eV/atom
total magnetic moment = 0.0 μB/f.u.

Cell lengths 4.580, 4.580, 4.659 Å; angles 90.00, 90.00, 90.00 degrees
Space group P4/mmm (No. 123)
Inequivalent atoms, fractional coordinates:
La1 0.000 0.000 0.000 (multiplicity 1)
Al1 0.500 0.500 0.000 (multiplicity 1)
In1 0.000 0.500 0.500 (multiplicity 2)

(10)
The following is a DFT calculation (PBEsol) of a geometry-optimized La8Al7InO24 structure.

Properties
VASP energy = -8.237 eV/atom
ΔE_f (raw) = -3.2279 eV/atom
total magnetic moment = 0.0 μB/f.u.

Cell lengths 7.632, 7.632, 7.632 Å; angles 90.00, 90.00, 90.00 degrees
Space group Pm-3m (No. 221)
Inequivalent atoms, fractional coordinates:
La1 0.247 0.247 0.247 (multiplicity 8)
Al1 0.000 0.000 0.000 (multiplicity 1)
Al2 0.000 0.000 0.500 (multiplicity 3)
Al3 0.000 0.500 0.500 (multiplicity 3)
In1 0.500 0.500 0.500 (multiplicity 1)
O1 0.000 0.000 0.248 (multiplicity 6)
O2 0.000 0.247 0.500 (multiplicity 12)
O3 0.233 0.500 0.500 (multiplicity 6)

(11)
The following is a DFT calculation (PBEsol) of a geometry-optimized LiAlIn structure.

Properties
calculated formation energy = -0.04 eV per atom
VASP energy = -3.053 eV/atom
total magnetic moment = 0.0 μB/f.u.

Cell lengths 3.456, 3.456, 9.564 Å; angles 90.00, 90.00, 90.00 degrees
Space group I4mm (No. 107)
Inequivalent atoms, fractional coordinates:
Li1 0.000 0.000 0.000 (multiplicity 2)
Al1 0.000 0.000 0.657 (multiplicity 2)
In1 0.000 0.000 0.331 (multiplicity 2)

(12)
The following is a DFT calculation (PBEsol) of a geometry-optimized LiAlIn2 structure.

Properties
calculated formation energy = 0.01 eV per atom
VASP energy = -2.994 eV/atom
total magnetic moment = 0.0 μB/f.u.

Cell lengths 6.986, 6.986, 6.986 Å; angles 90.00, 90.00, 90.00 degrees
Space group F-43m (No. 216)
Inequivalent atoms, fractional coordinates:
Li1 0.000 0.000 0.000 (multiplicity 4)
Al1 0.250 0.250 0.750 (multiplicity 4)
In1 0.000 0.000 0.500 (multiplicity 4)
In2 0.250 0.250 0.250 (multiplicity 4)